Re2NiHg: optimized geometry, PBE-GGA.

a b c (Å): 2.853 2.853 7.627
angles (deg): 90.00 90.00 90.00
Space group P4mm (No. 99)
Unique sites:
Re (0.000, 0.000, 0.000) (multiplicity 1)
Re (0.500, 0.500, 0.225) (multiplicity 1)
Ni (0.500, 0.500, 0.775) (multiplicity 1)
Hg (0.000, 0.000, 0.521) (multiplicity 1)

Results
Crystal system: tetragonal
Final energy in eV for the cell shown: -29.577
Formation energy from the elements in eV per atom: 0.351